[1]
# GdAl3Fe, optimized geometry, DFT PBE-GGA
# Formation energy, eV per formula unit: -1.7
data_GdAl3Fe
_symmetry_space_group_name_H-M 'P m -3 m'
_symmetry_Int_Tables_number 221
_symmetry_space_group_name_Hall '-P 4 2 3'
_cell_length_a 4.513
_cell_length_b 4.513
_cell_length_c 4.513
_cell_angle_alpha 90.00
_cell_angle_beta 90.00
_cell_angle_gamma 90.00
loop_
_atom_site_label
_atom_site_type_symbol
_atom_site_fract_x
_atom_site_fract_y
_atom_site_fract_z
Gd1 Gd 0.000 0.000 0.000
Al1 Al 0.000 0.500 0.500
Fe1 Fe 0.500 0.500 0.500

=====

[2]
# Gd2AlFe3, optimized geometry, DFT PBE-GGA
# Formation energy, eV per formula unit: -1.0
data_Gd2AlFe3
_symmetry_space_group_name_H-M 'R -3 m'
_symmetry_Int_Tables_number 166
_symmetry_space_group_name_Hall '-R 3 2"'
_cell_length_a 5.2278
_cell_length_b 5.2278
_cell_length_c 12.8837
_cell_angle_alpha 90.00
_cell_angle_beta 90.00
_cell_angle_gamma 120.00
loop_
_atom_site_label
_atom_site_type_symbol
_atom_site_fract_x
_atom_site_fract_y
_atom_site_fract_z
Gd1 Gd 0.0000 0.0000 0.1214
Al1 Al 0.0000 0.0000 0.5000
Fe1 Fe 0.0000 0.5000 0.0000